No. 1
{"formula": "CeNpS2", "functional": "PBE", "state": "optimized geometry", "lattice_angstrom": [[4.901, 0.000, 0.000], [0.000, 4.901, 0.000], [0.000, 0.000, 3.447]], "species": ["Ce", "Np", "S", "S"], "fractional_positions": [[0.000, 0.000, 0.000], [0.500, 0.500, 0.000], [0.000, 0.500, 0.500], [0.500, 0.000, 0.500]], "n_ef_per_ev_fu": 12.912, "sg": "No. 123", "final_energy_ev_per_atom": -8.14, "formation_energy_uncorrected_ev_per_atom": -1.356}

=====

No. 2
{"formula": "Ce4NpS7", "functional": "PBE", "state": "optimized geometry", "lattice_angstrom": [[6.613, -1.976, 0.000], [6.613, 1.976, 0.000], [-3.159, 0.000, 11.244]], "species": ["Ce", "Ce", "Ce", "Ce", "Np", "S", "S", "S", "S", "S", "S", "S"], "fractional_positions": [[0.000, 0.000, 0.000], [0.194, 0.194, 0.771], [0.588, 0.588, 0.379], [0.890, 0.890, 0.569], [0.769, 0.769, 0.146], [0.156, 0.156, 0.223], [0.231, 0.231, 0.522], [0.373, 0.373, 0.062], [0.548, 0.548, 0.624], [0.621, 0.621, 0.924], [0.847, 0.847, 0.786], [0.930, 0.930, 0.349]], "n_ef_per_ev_fu": 31.731, "sg": "No. 8", "final_energy_ev_per_atom": -7.33, "formation_energy_uncorrected_ev_per_atom": -1.862}

=====

No. 3
{"formula": "Ce2Np4S9", "functional": "PBE", "state": "optimized geometry", "lattice_angstrom": [[7.041, 0.000, 0.000], [-3.521, 6.098, 0.000], [0.000, 0.000, 18.453]], "species": ["Ce", "Ce", "Ce", "Ce", "Np", "Np", "Np", "Np", "Np", "Np", "Np", "Np", "S", "S", "S", "S", "S", "S", "S", "S", "S", "S", "S", "S", "S", "S", "S", "S", "S", "S"], "fractional_positions": [[0.000, 0.000, 0.147], [0.000, 0.000, 0.353], [0.000, 0.000, 0.647], [0.000, 0.000, 0.853], [0.333, 0.667, 0.184], [0.333, 0.667, 0.484], [0.333, 0.667, 0.684], [0.333, 0.667, 0.984], [0.667, 0.333, 0.016], [0.667, 0.333, 0.316], [0.667, 0.333, 0.516], [0.667, 0.333, 0.816], [0.000, 0.301, 0.250], [0.000, 0.699, 0.750], [0.033, 0.378, 0.584], [0.033, 0.655, 0.084], [0.301, 0.000, 0.250], [0.301, 0.301, 0.750], [0.345, 0.378, 0.084], [0.345, 0.967, 0.584], [0.378, 0.033, 0.916], [0.378, 0.345, 0.416], [0.622, 0.655, 0.584], [0.622, 0.967, 0.084], [0.655, 0.033, 0.416], [0.655, 0.622, 0.916], [0.699, 0.000, 0.750], [0.699, 0.699, 0.250], [0.967, 0.345, 0.916], [0.967, 0.622, 0.416]], "n_ef_per_ev_fu": 48.923, "sg": "No. 165", "final_energy_ev_per_atom": -8.25, "formation_energy_uncorrected_ev_per_atom": -1.528}

=====

No. 4
{"formula": "Ce2Np2S7", "functional": "PBE", "state": "optimized geometry", "lattice_angstrom": [[4.625, 0.000, 0.000], [0.000, 4.625, 0.000], [0.000, 0.000, 13.081]], "species": ["Ce", "Ce", "Np", "Np", "S", "S", "S", "S", "S", "S", "S"], "fractional_positions": [[0.000, 0.500, 0.144], [0.500, 0.000, 0.856], [0.000, 0.500, 0.619], [0.500, 0.000, 0.381], [0.000, 0.000, 0.247], [0.000, 0.000, 0.500], [0.000, 0.000, 0.753], [0.500, 0.500, 0.000], [0.500, 0.500, 0.261], [0.500, 0.500, 0.500], [0.500, 0.500, 0.739]], "n_ef_per_ev_fu": 33.399, "sg": "No. 115", "final_energy_ev_per_atom": -7.59, "formation_energy_uncorrected_ev_per_atom": -1.530}